(1)
# GdYPbC, relaxed, DFT PBE-GGA
data_GdYPbC
_space_group_name_H-M_alt 'P 63 m c'
_space_group_IT_number 186
_space_group_name_Hall 'P 6c -2c'
_cell_length_a 3.6648
_cell_length_b 3.6648
_cell_length_c 16.2159
_cell_angle_alpha 90.00
_cell_angle_beta 90.00
_cell_angle_gamma 120.00
loop_
_atom_site_label
_atom_site_fract_x
_atom_site_fract_y
_atom_site_fract_z
Gd1 0.3333 0.6667 0.0000
Y1 0.3333 0.6667 0.3342
Pb1 0.3333 0.6667 0.6684
C1 0.0000 0.0000 0.4171
# Raw total energy = -51.9 eV for the cell shown

=====

(2)
# Gd3YPb2C2, relaxed, DFT PBE-GGA
data_Gd3YPb2C2
_space_group_name_H-M_alt 'P 3 m 1'
_space_group_IT_number 156
_cell_length_a 3.6661
_cell_length_b 3.6661
_cell_length_c 16.3145
_cell_angle_alpha 90.00
_cell_angle_beta 90.00
_cell_angle_gamma 120.00
loop_
_space_group_symop_operation_xyz
'x,y,z'
'-y,x-y,z'
'-x+y,-x,z'
'-y,-x,z'
'-x+y,y,z'
'x,x-y,z'
loop_
_atom_site_label
_atom_site_fract_x
_atom_site_fract_y
_atom_site_fract_z
Gd1 0.0000 0.0000 0.0000
Gd2 0.0000 0.0000 0.3339
Gd3 0.3333 0.6667 0.5002
Y1 0.3333 0.6667 0.8341
Pb1 0.0000 0.0000 0.6673
Pb2 0.3333 0.6667 0.1671
C1 0.6667 0.3333 0.4172
C2 0.6667 0.3333 0.9170
# Raw total energy = -50.0 eV for the cell shown

=====

(3)
# GdYPbC, relaxed, DFT PBE-GGA
data_GdYPbC
_space_group_name_H-M_alt 'P -6 m 2'
_space_group_IT_number 187
_space_group_name_Hall 'P -6 2'
_cell_length_a 3.6571
_cell_length_b 3.6571
_cell_length_c 16.2137
_cell_angle_alpha 90.00
_cell_angle_beta 90.00
_cell_angle_gamma 120.00
loop_
_atom_site_label
_atom_site_fract_x
_atom_site_fract_y
_atom_site_fract_z
Gd1 0.0000 0.0000 0.1676
Y1 0.3333 0.6667 0.3336
Pb1 0.0000 0.0000 0.5000
Pb2 0.3333 0.6667 0.0000
C1 0.6667 0.3333 0.2512
# Raw total energy = -51.9 eV for the cell shown

=====

(4)
# GdY3Pb2C2, relaxed, DFT PBE-GGA
data_GdY3Pb2C2
_space_group_name_H-M_alt 'P 3 m 1'
_space_group_IT_number 156
_cell_length_a 3.6567
_cell_length_b 3.6567
_cell_length_c 16.1643
_cell_angle_alpha 90.00
_cell_angle_beta 90.00
_cell_angle_gamma 120.00
loop_
_space_group_symop_operation_xyz
'x,y,z'
'-y,x-y,z'
'-x+y,-x,z'
'-y,-x,z'
'-x+y,y,z'
'x,x-y,z'
loop_
_atom_site_label
_atom_site_fract_x
_atom_site_fract_y
_atom_site_fract_z
Gd1 0.0000 0.0000 0.0000
Y1 0.0000 0.0000 0.3344
Y2 0.3333 0.6667 0.4998
Y3 0.3333 0.6667 0.8333
Pb1 0.0000 0.0000 0.6669
Pb2 0.3333 0.6667 0.1683
C1 0.6667 0.3333 0.4174
C2 0.6667 0.3333 0.9163
# Raw total energy = -53.8 eV for the cell shown

=====

(5)
# Pr2GdTa2C6, relaxed, DFT PBE-GGA
data_Pr2GdTa2C6
_space_group_name_H-M_alt 'I 4/m m m'
_space_group_IT_number 139
_space_group_name_Hall '-I 4 2'
_cell_length_a 4.073
_cell_length_b 4.073
_cell_length_c 21.297
_cell_angle_alpha 90.00
_cell_angle_beta 90.00
_cell_angle_gamma 90.00
loop_
_atom_site_label
_atom_site_fract_x
_atom_site_fract_y
_atom_site_fract_z
Pr1 0.000 0.000 0.186
Gd1 0.000 0.000 0.000
Ta1 0.000 0.000 0.401
C1 0.000 0.000 0.305
C2 0.000 0.500 0.077
# Raw total energy = -183.5 eV for the cell shown

=====

(6)
# PrGdW2C3, relaxed, DFT PBE-GGA
data_PrGdW2C3
_space_group_name_H-M_alt 'C 1 m 1'
_space_group_IT_number 8
_cell_length_a 12.184
_cell_length_b 3.387
_cell_length_c 5.867
_cell_angle_alpha 90.00
_cell_angle_beta 114.64
_cell_angle_gamma 90.00
loop_
_space_group_symop_operation_xyz
'x,y,z'
'x,-y,z'
'x+1/2,y+1/2,z'
'x+1/2,-y+1/2,z'
loop_
_atom_site_label
_atom_site_fract_x
_atom_site_fract_y
_atom_site_fract_z
Pr1 0.000 0.000 0.000
Gd1 0.216 0.000 0.629
W1 0.263 0.500 0.130
W2 0.447 0.000 0.484
C1 0.108 0.500 0.800
C2 0.352 0.000 0.080
C3 0.356 0.500 0.536
# Raw total energy = -129.2 eV for the cell shown

=====

(7)
# GdPt3C, relaxed, DFT PBE-GGA
data_GdPt3C
_space_group_name_H-M_alt 'P 4 m m'
_space_group_IT_number 99
_cell_length_a 3.964
_cell_length_b 3.964
_cell_length_c 5.086
_cell_angle_alpha 90.00
_cell_angle_beta 90.00
_cell_angle_gamma 90.00
loop_
_space_group_symop_operation_xyz
'x,y,z'
'-y,x,z'
'-x,-y,z'
'y,-x,z'
'-x,y,z'
'y,x,z'
'x,-y,z'
'-y,-x,z'
loop_
_atom_site_label
_atom_site_fract_x
_atom_site_fract_y
_atom_site_fract_z
Gd1 0.000 0.000 0.000
Pt1 0.000 0.500 0.518
Pt2 0.500 0.500 0.107
C1 0.500 0.500 0.707
# Raw total energy = -34.0 eV for the cell shown

=====

(8)
# RbGd2CS4, relaxed, DFT PBE-GGA
data_RbGd2CS4
_space_group_name_H-M_alt 'P -6 m 2'
_space_group_IT_number 187
_space_group_name_Hall 'P -6 2'
_cell_length_a 4.0233
_cell_length_b 4.0233
_cell_length_c 13.9120
_cell_angle_alpha 90.00
_cell_angle_beta 90.00
_cell_angle_gamma 120.00
loop_
_atom_site_label
_atom_site_fract_x
_atom_site_fract_y
_atom_site_fract_z
Rb1 0.0000 0.0000 0.0000
Gd1 0.6667 0.3333 0.2807
C1 0.3333 0.6667 0.5000
S1 0.0000 0.0000 0.3874
S2 0.3333 0.6667 0.1706
# Raw total energy = -41.2 eV for the cell shown

=====

| no. | total magnetization (μB/atom) |
| --- | --- |
| 1 | 0.00 |
| 2 | 0.00 |
| 3 | 0.00 |
| 4 | 0.00 |
| 5 | 0.00 |
| 6 | 0.00 |
| 7 | 0.00 |
| 8 | 0.13 |